Density functional theory data (PBE-GGA) for a relaxed structure of CaPm5Pt6.

a = 8.748 Å, b = 8.748 Å, c = 8.748 Å
α = 146.40°, β = 131.76°, γ = 60.07°
Positions (direct):
Ca (0.000, 0.000, 0.000)
Pm (0.159, 0.659, 0.500)
Pm (0.331, 0.331, 0.000)
Pm (0.500, 0.000, 0.500)
Pm (0.669, 0.669, 0.000)
Pm (0.841, 0.341, 0.500)
Pt (0.086, 0.828, 0.258)
Pt (0.266, 0.500, 0.766)
Pt (0.431, 0.172, 0.258)
Pt (0.569, 0.828, 0.742)
Pt (0.734, 0.500, 0.234)
Pt (0.914, 0.172, 0.742)

Values from the calculation:
E_form: -1.074 eV/atom

***

Density functional theory data (PBE-GGA) for a relaxed structure of RbBa2NaGe.

a = 6.630 Å, b = 6.630 Å, c = 6.122 Å
α = 90.00°, β = 90.00°, γ = 90.00°
Positions (direct):
Rb (0.000, 0.000, 0.000)
Ba (0.000, 0.500, 0.500)
Ba (0.500, 0.000, 0.500)
Na (0.500, 0.500, 0.000)
Ge (0.500, 0.500, 0.500)

Values from the calculation:
E_form: -0.079 eV/atom

***

Density functional theory data (PBE-GGA) for a relaxed structure of NaSrCd17.

a = 7.782 Å, b = 7.782 Å, c = 7.782 Å
α = 82.52°, β = 82.52°, γ = 82.52°
Positions (direct):
Na (0.000, 0.000, 0.000)
Sr (0.324, 0.324, 0.324)
Cd (0.014, 0.014, 0.516)
Cd (0.014, 0.516, 0.014)
Cd (0.172, 0.651, 0.651)
Cd (0.298, 0.298, 0.833)
Cd (0.298, 0.833, 0.298)
Cd (0.361, 0.663, 0.958)
Cd (0.361, 0.958, 0.663)
Cd (0.516, 0.014, 0.014)
Cd (0.565, 0.565, 0.565)
Cd (0.651, 0.172, 0.651)
Cd (0.651, 0.651, 0.172)
Cd (0.663, 0.361, 0.958)
Cd (0.663, 0.958, 0.361)
Cd (0.769, 0.769, 0.769)
Cd (0.833, 0.298, 0.298)
Cd (0.958, 0.361, 0.663)
Cd (0.958, 0.663, 0.361)

Values from the calculation:
E_form: -0.098 eV/atom

***

Density functional theory data (PBE-GGA) for a relaxed structure of PuHfSnAu.

a = 5.084 Å, b = 5.084 Å, c = 5.084 Å
α = 60.00°, β = 60.00°, γ = 60.00°
Positions (direct):
Pu (0.000, 0.000, 0.000)
Hf (0.500, 0.500, 0.500)
Sn (0.750, 0.750, 0.750)
Au (0.250, 0.250, 0.250)

Values from the calculation:
E_form: -0.257 eV/atom

***

Density functional theory data (PBE-GGA) for a relaxed structure of SrAgRu2.

a = 2.897 Å, b = 2.897 Å, c = 9.018 Å
α = 90.00°, β = 90.00°, γ = 90.00°
Positions (direct):
Sr (0.000, 0.000, 0.000)
Ag (0.000, 0.000, 0.500)
Ru (0.500, 0.500, 0.276)
Ru (0.500, 0.500, 0.724)

Values from the calculation:
polymorph energy (0 for the lowest one): 0.605 eV/atom
E_form: 0.858 eV/atom

***

Density functional theory data (PBE-GGA) for a relaxed structure of BaAl2Zn4Au.

a = 10.246 Å, b = 10.246 Å, c = 10.246 Å
α = 24.81°, β = 24.81°, γ = 24.81°
Positions (direct):
Ba (0.000, 0.000, 0.000)
Al (0.240, 0.240, 0.240)
Al (0.760, 0.760, 0.760)
Zn (0.132, 0.132, 0.132)
Zn (0.409, 0.409, 0.409)
Zn (0.591, 0.591, 0.591)
Zn (0.868, 0.868, 0.868)
Au (0.500, 0.500, 0.500)

Values from the calculation:
E_form: -0.132 eV/atom

***

Density functional theory data (PBE-GGA) for a relaxed structure of NiTe2As.

a = 8.412 Å, b = 8.412 Å, c = 8.412 Å
α = 153.89°, β = 153.89°, γ = 37.26°
Positions (direct):
Ni (0.000, 0.000, 0.000)
Te (0.250, 0.750, 0.500)
Te (0.500, 0.500, 0.000)
As (0.750, 0.250, 0.500)

Values from the calculation:
formation energy from raw total energies: 486 meV/atom

***

Density functional theory data (PBE-GGA) for a relaxed structure of CeErPO2.

a = 6.294 Å, b = 6.294 Å, c = 7.462 Å
α = 90.00°, β = 90.00°, γ = 145.50°
Positions (direct):
Ce (0.230, 0.770, 0.750)
Ce (0.770, 0.230, 0.250)
Er (0.500, 0.500, 0.000)
Er (0.500, 0.500, 0.500)
P (0.054, 0.946, 0.250)
P (0.946, 0.054, 0.750)
O (0.322, 0.678, 0.074)
O (0.322, 0.678, 0.426)
O (0.678, 0.322, 0.574)
O (0.678, 0.322, 0.926)

Values from the calculation:
formation energy from raw total energies: -2598 meV/atom

***

Number 1: D(E_F) 0.65 states/eV/atom, DFT total energy -74.9 eV/f.u.. Number 2: D(E_F) 0.74 states/eV/atom, DFT total energy -11.1 eV/f.u.. Number 3: D(E_F) 0.28 states/eV/atom, DFT total energy -20.4 eV/f.u.. Number 4: D(E_F) 2.44 states/eV/atom, DFT total energy -32.6 eV/f.u.. Number 5: D(E_F) 0.69 states/eV/atom, DFT total energy -19.7 eV/f.u.. Number 6: D(E_F) 0.42 states/eV/atom, DFT total energy -18.8 eV/f.u.. Number 7: D(E_F) 1.09 states/eV/atom, DFT total energy -14.8 eV/f.u.. Number 8: D(E_F) 0.36 states/eV/atom, DFT total energy -38.8 eV/f.u..